[1]
First-principles (PBE-GGA) data for K6Si7 after structural relaxation, as listed in the Alexandria database.

Geometry as extended XYZ:
```
13
Lattice="3.4752 2.0064 9.9384 -3.4752 2.0064 9.9384 0.0000 -4.0128 9.9384" Properties=species:S:1:pos:R:3 pbc="T T T"
K 0.0000 0.0000 1.8933
K 0.0000 0.0000 5.1179
K 0.0000 0.0000 9.3742
K 0.0000 0.0000 20.4412
K 0.0000 0.0000 24.6975
K 0.0000 0.0000 27.9220
Si -1.2063 -0.6965 12.8152
Si 0.0000 -1.3929 17.0001
Si -1.2063 0.6965 17.0001
Si 0.0000 0.0000 14.9077
Si 1.2063 -0.6965 12.8152
Si 0.0000 1.3929 12.8152
Si 1.2063 0.6965 17.0001
```

Output
As for the space group: No. 166.


[2]
First-principles (PBE-GGA) data for MgScTlCl6 after structural relaxation, as listed in the Alexandria database.

Geometry as extended XYZ:
```
18
Lattice="6.5838 0.0000 0.0000 -3.2919 5.7018 0.0000 0.0000 0.0000 14.2115" Properties=species:S:1:pos:R:3 pbc="T T T"
Mg 0.0000 3.8012 3.5529
Mg 3.2919 1.9006 10.6587
Sc 0.0000 3.8012 10.6587
Sc 3.2919 1.9006 3.5529
Tl 0.0000 0.0000 0.0000
Tl 0.0000 0.0000 7.1058
Cl -1.2261 2.1453 9.2242
Cl -2.0471 3.5673 12.0931
Cl 1.2261 2.1453 12.0931
Cl -0.8210 5.6910 9.2242
Cl 2.4709 0.0108 2.1185
Cl 1.2448 2.1345 4.9873
Cl 2.0471 3.5673 9.2242
Cl 0.8210 5.6910 12.0931
Cl 4.1129 0.0108 4.9873
Cl 2.0658 3.5565 2.1185
Cl 5.3391 2.1345 2.1185
Cl 4.5180 3.5565 4.9873
```

Output
As for the space group: No. 163.


[3]
First-principles (PBE-GGA) data for DyEr2SnN4 after structural relaxation, as listed in the Alexandria database.

Geometry as extended XYZ:
```
8
Lattice="5.9601 0.0000 0.0000 0.0000 3.4469 0.0000 -2.0002 0.0000 5.6361" Properties=species:S:1:pos:R:3 pbc="T T T"
Dy 0.0000 0.0000 0.0000
Er -1.0001 1.7235 2.8181
Er 1.9800 0.0000 2.8181
Sn 2.9801 1.7235 0.0000
N -0.0339 0.0000 4.1716
N 0.9560 1.7235 1.4504
N 3.0039 1.7235 4.1857
N 3.9938 0.0000 1.4645
```

Output
As for the space group: No. 10.


What did we get for ΔE_f (raw)? Answer: 0.121 -1.807 -1.113 eV per atom, in the order shown.